Entry 1:
First-principles (PBE) data for a geometry-optimized SbMo4PbN2 structure, as listed in OQMD via LeMat-Bulk. Values from VASP.

Cell and atoms, written as Quantum ESPRESSO input:
```
&SYSTEM
  ibrav = 0, nat = 8, ntyp = 4
/
ATOMIC_SPECIES
Mo 95.94 Mo.upf
Sb 121.76 Sb.upf
Pb 207.20 Pb.upf
N 14.01 N.upf
ATOMIC_POSITIONS crystal
Mo 0.6667 0.3333 0.6652
Mo 0.0000 0.0000 0.1848
Mo 0.6667 0.3333 0.3348
Sb 0.0000 0.0000 0.5000
Mo 0.0000 0.0000 0.8152
Pb 0.6667 0.3333 0.0000
N 0.3333 0.6667 0.7500
N 0.3333 0.6667 0.2500
CELL_PARAMETERS angstrom
-1.3527 -3.0339 -0.1627
3.1620 0.3613 0.9653
-3.8531 1.0624 12.2242
```

Computed properties:
DFT total energy   -67.1 eV per cell
Space-group type   P-6m2 (187)

---

Entry 2:
First-principles (PBE) data for a geometry-optimized Sc2Mo4Pb3N3 structure, as listed in OQMD via LeMat-Bulk. Values from VASP.

Cell and atoms, written as Quantum ESPRESSO input:
```
&SYSTEM
  ibrav = 0, nat = 24, ntyp = 4
/
ATOMIC_SPECIES
Sc 44.96 Sc.upf
Mo 95.94 Mo.upf
Pb 207.20 Pb.upf
N 14.01 N.upf
ATOMIC_POSITIONS crystal
Sc 0.6502 0.4745 0.9163
Mo 0.6880 0.8744 0.0720
Pb 0.4219 0.2311 0.2528
N 0.0000 0.5000 0.0000
N 0.1803 0.6604 0.5000
Mo 0.8744 0.6880 0.5720
Pb 0.5781 0.7689 0.7472
Mo 0.1726 0.0402 0.5715
Sc 0.3498 0.5255 0.0837
N 0.6604 0.1803 0.0000
Mo 0.9598 0.8274 0.9285
Pb 0.7688 0.5781 0.2472
Pb 0.9294 0.0706 0.7500
Mo 0.1256 0.3120 0.4280
Mo 0.3120 0.1256 0.9280
Pb 0.2312 0.4219 0.7528
Sc 0.5255 0.3498 0.5837
Pb 0.0706 0.9294 0.2500
N 0.5000 0.0000 0.5000
Sc 0.4745 0.6502 0.4163
N 0.3396 0.8197 0.0000
N 0.8197 0.3396 0.5000
Mo 0.0402 0.1726 0.0715
Mo 0.8274 0.9598 0.4285
CELL_PARAMETERS angstrom
-2.0561 4.3877 -3.0528
-2.8180 -0.9926 -4.8860
-10.1495 -1.7798 9.4419
```

Computed properties:
DFT total energy   -192.1 eV per cell
Space-group type   C2/c (15)